Entry 1:
# Ca2ReP PBE-GGA optimized geometry
# Uncorrected energy in eV per formula unit: -22.6
# ΔH_f (0 K) in eV/atom: -0.19
# Space group: P4mm
# Total magnetization in Bohr magnetons per cell: 0.0
# ρ in g/cm³: 5.530
# Crystal system: tetragonal
data_Ca2ReP
_chemical_formula_sum 'Ca2 Re1 P1'
_cell_length_a 3.2362
_cell_length_b 3.2362
_cell_length_c 8.5246
_cell_angle_alpha 90.00
_cell_angle_beta 90.00
_cell_angle_gamma 90.00
_symmetry_space_group_name_H-M 'P 1'
_symmetry_Int_Tables_number 1
loop_
_symmetry_equiv_pos_as_xyz
'x,y,z'
loop_
_atom_site_label
_atom_site_type_symbol
_atom_site_fract_x
_atom_site_fract_y
_atom_site_fract_z
Ca1 Ca 0.0000 0.0000 0.0000
Ca2 Ca 0.5000 0.5000 0.3983
Re1 Re 0.5000 0.5000 0.7451
P1 P 0.0000 0.0000 0.6332


Entry 2:
# PmTiZn2 PBE-GGA optimized geometry
# Uncorrected energy in eV per formula unit: -14.8
# Offset from the most stable computed form in eV per formula unit: 1.06
# ΔH_f (0 K) in eV/atom: 0.09
# Space group: R-3m
# Total magnetization in Bohr magnetons per cell: 0.0
# ρ in g/cm³: 6.399
# Crystal system: trigonal
data_PmTiZn2
_chemical_formula_sum 'Pm3 Ti3 Zn6'
_cell_length_a 3.3092
_cell_length_b 3.3092
_cell_length_c 26.5717
_cell_angle_alpha 90.00
_cell_angle_beta 90.00
_cell_angle_gamma 120.00
_symmetry_space_group_name_H-M 'P 1'
_symmetry_Int_Tables_number 1
loop_
_symmetry_equiv_pos_as_xyz
'x,y,z'
loop_
_atom_site_label
_atom_site_type_symbol
_atom_site_fract_x
_atom_site_fract_y
_atom_site_fract_z
Pm1 Pm 0.0000 0.0000 0.0000
Pm2 Pm 0.3333 0.6667 0.6667
Pm3 Pm 0.6667 0.3333 0.3333
Ti1 Ti 0.0000 0.0000 0.5000
Ti2 Ti 0.3333 0.6667 0.1667
Ti3 Ti 0.6667 0.3333 0.8333
Zn1 Zn 0.0000 0.0000 0.2393
Zn2 Zn 0.0000 0.0000 0.7607
Zn3 Zn 0.3333 0.6667 0.4273
Zn4 Zn 0.3333 0.6667 0.9060
Zn5 Zn 0.6667 0.3333 0.0940
Zn6 Zn 0.6667 0.3333 0.5727


Entry 3:
# Y6TmCd PBE-GGA optimized geometry
# Uncorrected energy in eV per formula unit: -43.9
# ΔH_f (0 K) in eV/atom: 0.04
# Space group: R-3
# Total magnetization in Bohr magnetons per cell: 0.0
# ρ in g/cm³: 5.431
# Crystal system: trigonal
data_Y6TmCd
_chemical_formula_sum 'Y6 Tm1 Cd1'
_cell_length_a 6.3128
_cell_length_b 6.3128
_cell_length_c 6.3128
_cell_angle_alpha 94.46
_cell_angle_beta 94.46
_cell_angle_gamma 94.46
_symmetry_space_group_name_H-M 'P 1'
_symmetry_Int_Tables_number 1
loop_
_symmetry_equiv_pos_as_xyz
'x,y,z'
loop_
_atom_site_label
_atom_site_type_symbol
_atom_site_fract_x
_atom_site_fract_y
_atom_site_fract_z
Y1 Y 0.0396 0.7582 0.5504
Y2 Y 0.2418 0.4496 0.9604
Y3 Y 0.4496 0.9604 0.2418
Y4 Y 0.5504 0.0396 0.7582
Y5 Y 0.7582 0.5504 0.0396
Y6 Y 0.9604 0.2418 0.4496
Tm1 Tm 0.5000 0.5000 0.5000
Cd1 Cd 0.0000 0.0000 0.0000


Entry 4:
# Sc2SnBi PBE-GGA optimized geometry
# Uncorrected energy in eV per formula unit: -20.6
# Offset from the most stable computed form in eV per formula unit: 2.03
# ΔH_f (0 K) in eV/atom: -0.02
# Space group: R-3m
# Total magnetization in Bohr magnetons per cell: 0.0
# ρ in g/cm³: 5.496
# Crystal system: trigonal
data_Sc2SnBi
_chemical_formula_sum 'Sc6 Sn3 Bi3'
_cell_length_a 3.9228
_cell_length_b 3.9228
_cell_length_c 28.4011
_cell_angle_alpha 90.00
_cell_angle_beta 90.00
_cell_angle_gamma 120.00
_symmetry_space_group_name_H-M 'P 1'
_symmetry_Int_Tables_number 1
loop_
_symmetry_equiv_pos_as_xyz
'x,y,z'
loop_
_atom_site_label
_atom_site_type_symbol
_atom_site_fract_x
_atom_site_fract_y
_atom_site_fract_z
Sc1 Sc 0.0000 0.0000 0.1015
Sc2 Sc 0.0000 0.0000 0.8985
Sc3 Sc 0.3333 0.6667 0.5652
Sc4 Sc 0.3333 0.6667 0.7681
Sc5 Sc 0.6667 0.3333 0.2319
Sc6 Sc 0.6667 0.3333 0.4348
Sn1 Sn 0.0000 0.0000 0.0000
Sn2 Sn 0.3333 0.6667 0.6667
Sn3 Sn 0.6667 0.3333 0.3333
Bi1 Bi 0.0000 0.0000 0.5000
Bi2 Bi 0.3333 0.6667 0.1667
Bi3 Bi 0.6667 0.3333 0.8333